{
  "formula": "ScAl2Zn",
  "functional": "PBE",
  "state": "optimized geometry",
  "n_ef_per_ev_fu": 3.2,
  "crystal_system": "tetragonal",
  "total_energy_ev_per_cell": -16.06,
  "lattice": [[-3.9515, -2.9352, -1.6817], [-0.3140, -4.5767, -2.4521], [-0.8628, -3.0858, 2.5010]],
  "species": ["Al", "Al", "Sc", "Zn"],
  "fractional_positions": [[0.9999, 0.9999, 0.0001], [0.5001, 0.5001, 0.4999], [0.7500, 0.7500, 0.7500], [0.2500, 0.2500, 0.2500]]
}